## Ce2PrHo3Er6 (PBE-GGA)

Data for Ce2PrHo3Er6 after structural relaxation.

a b c (Å): 6.1130 6.1130 11.6736
angles (deg): 95.01 95.01 119.99
Last column: magnetic moment on the atom in μB.
Sites, in units of the cell vectors:
Er  0.4207  0.0844  0.2511  0.01
Er  0.2519  0.2519  0.7490  0.01
Er  0.0844  0.4207  0.2511  0.01
Er  0.9156  0.5793  0.7489  0.01
Er  0.7481  0.7481  0.2510  0.01
Er  0.5793  0.9156  0.7489  0.01
Ho  0.8338  0.1662  0.5000  -0.02
Ho  0.1662  0.8338  0.5000  -0.02
Ho  0.5000  0.5000  0.5000  -0.02
Pr  0.0000  0.0000  0.0000  0.00
Ce  0.3332  0.6668  0.0000  0.72
Ce  0.6668  0.3332  0.0000  0.72

The density of states at the Fermi level comes out at 22.21 states/eV/f.u. The calculation puts the energy of formation at 52 meV/atom.